Entry 1:
# PBE-GGA AlCr2Co, optimized geometry
# Space-group type ... Immm (71)
data_AlCr2Co
_symmetry_space_group_name_H-M 'P 1'
_symmetry_Int_Tables_number 1
_symmetry_space_group_name_Hall 'P 1'
_cell_length_a 4.779
_cell_length_b 4.779
_cell_length_c 4.779
_cell_angle_alpha 143.57
_cell_angle_beta 133.09
_cell_angle_gamma 60.81
loop_
_atom_site_label
_atom_site_type_symbol
_atom_site_fract_x
_atom_site_fract_y
_atom_site_fract_z
Al1 Al 0.000 0.000 0.000
Cr1 Cr 0.254 0.754 0.500
Cr2 Cr 0.746 0.246 0.500
Co1 Co 0.500 0.500 0.000

=====

Entry 2:
# PBE-GGA LiY2HfAs4, optimized geometry
# Space-group type ... P2/m (10)
data_LiY2HfAs4
_symmetry_space_group_name_H-M 'P 1'
_symmetry_Int_Tables_number 1
_symmetry_space_group_name_Hall 'P 1'
_cell_length_a 6.804
_cell_length_b 3.983
_cell_length_c 7.048
_cell_angle_alpha 90.00
_cell_angle_beta 109.56
_cell_angle_gamma 90.00
loop_
_atom_site_label
_atom_site_type_symbol
_atom_site_fract_x
_atom_site_fract_y
_atom_site_fract_z
Li1 Li 0.000 0.000 0.000
Y1 Y 0.500 0.000 0.500
Y2 Y 0.500 0.500 0.000
Hf1 Hf 0.000 0.500 0.500
As1 As 0.231 0.000 0.741
As2 As 0.232 0.500 0.251
As3 As 0.768 0.500 0.749
As4 As 0.769 0.000 0.259

=====

Entry 3:
# PBE-GGA Sm12H5Rh3, optimized geometry
# Space-group type ... Ia-3d (230)
data_Sm12H5Rh3
_symmetry_space_group_name_H-M 'P 1'
_symmetry_Int_Tables_number 1
_symmetry_space_group_name_Hall 'P 1'
_cell_length_a 13.324
_cell_length_b 13.324
_cell_length_c 13.324
_cell_angle_alpha 109.47
_cell_angle_beta 109.47
_cell_angle_gamma 109.47
loop_
_atom_site_label
_atom_site_type_symbol
_atom_site_fract_x
_atom_site_fract_y
_atom_site_fract_z
Sm1 Sm 0.028 0.217 0.120
Sm2 Sm 0.028 0.311 0.908
Sm3 Sm 0.092 0.620 0.403
Sm4 Sm 0.092 0.972 0.689
Sm5 Sm 0.097 0.717 0.689
Sm6 Sm 0.097 0.880 0.408
Sm7 Sm 0.120 0.028 0.217
Sm8 Sm 0.120 0.592 0.903
Sm9 Sm 0.189 0.217 0.597
Sm10 Sm 0.189 0.472 0.592
Sm11 Sm 0.217 0.120 0.028
Sm12 Sm 0.217 0.597 0.189
Sm13 Sm 0.283 0.311 0.903
Sm14 Sm 0.283 0.472 0.380
Sm15 Sm 0.311 0.903 0.283
Sm16 Sm 0.311 0.908 0.028
Sm17 Sm 0.380 0.283 0.472
Sm18 Sm 0.380 0.597 0.908
Sm19 Sm 0.403 0.092 0.620
Sm20 Sm 0.403 0.811 0.783
Sm21 Sm 0.408 0.097 0.880
Sm22 Sm 0.408 0.811 0.528
Sm23 Sm 0.472 0.380 0.283
Sm24 Sm 0.472 0.592 0.189
Sm25 Sm 0.528 0.408 0.811
Sm26 Sm 0.528 0.620 0.717
Sm27 Sm 0.592 0.189 0.472
Sm28 Sm 0.592 0.903 0.120
Sm29 Sm 0.597 0.189 0.217
Sm30 Sm 0.597 0.908 0.380
Sm31 Sm 0.620 0.403 0.092
Sm32 Sm 0.620 0.717 0.528
Sm33 Sm 0.689 0.092 0.972
Sm34 Sm 0.689 0.097 0.717
Sm35 Sm 0.717 0.528 0.620
Sm36 Sm 0.717 0.689 0.097
Sm37 Sm 0.783 0.403 0.811
Sm38 Sm 0.783 0.880 0.972
Sm39 Sm 0.811 0.528 0.408
Sm40 Sm 0.811 0.783 0.403
Sm41 Sm 0.880 0.408 0.097
Sm42 Sm 0.880 0.972 0.783
Sm43 Sm 0.903 0.120 0.592
Sm44 Sm 0.903 0.283 0.311
Sm45 Sm 0.908 0.028 0.311
Sm46 Sm 0.908 0.380 0.597
Sm47 Sm 0.972 0.689 0.092
Sm48 Sm 0.972 0.783 0.880
H1 H 0.000 0.000 0.000
H2 H 0.000 0.000 0.500
H3 H 0.000 0.500 0.000
H4 H 0.000 0.500 0.500
H5 H 0.125 0.750 0.875
H6 H 0.125 0.875 0.250
H7 H 0.250 0.125 0.875
H8 H 0.250 0.625 0.375
H9 H 0.375 0.250 0.625
H10 H 0.375 0.625 0.750
H11 H 0.500 0.000 0.000
H12 H 0.500 0.000 0.500
H13 H 0.500 0.500 0.000
H14 H 0.500 0.500 0.500
H15 H 0.625 0.375 0.250
H16 H 0.625 0.750 0.375
H17 H 0.750 0.375 0.625
H18 H 0.750 0.875 0.125
H19 H 0.875 0.125 0.750
H20 H 0.875 0.250 0.125
Rh1 Rh 0.125 0.250 0.375
Rh2 Rh 0.125 0.375 0.750
Rh3 Rh 0.250 0.375 0.125
Rh4 Rh 0.250 0.875 0.625
Rh5 Rh 0.375 0.125 0.250
Rh6 Rh 0.375 0.750 0.125
Rh7 Rh 0.625 0.250 0.875
Rh8 Rh 0.625 0.875 0.750
Rh9 Rh 0.750 0.125 0.375
Rh10 Rh 0.750 0.625 0.875
Rh11 Rh 0.875 0.625 0.250
Rh12 Rh 0.875 0.750 0.625

=====

Entry 4:
# PBE-GGA TaP3Ru, optimized geometry
# Space-group type ... Pm-3m (221)
data_TaP3Ru
_symmetry_space_group_name_H-M 'P 1'
_symmetry_Int_Tables_number 1
_symmetry_space_group_name_Hall 'P 1'
_cell_length_a 4.749
_cell_length_b 4.749
_cell_length_c 4.749
_cell_angle_alpha 90.00
_cell_angle_beta 90.00
_cell_angle_gamma 90.00
loop_
_atom_site_label
_atom_site_type_symbol
_atom_site_fract_x
_atom_site_fract_y
_atom_site_fract_z
Ta1 Ta 0.000 0.000 0.000
P1 P 0.000 0.000 0.500
P2 P 0.000 0.500 0.000
P3 P 0.500 0.000 0.000
Ru1 Ru 0.500 0.500 0.500

=====

Entry 5:
# PBE-GGA MnCdSb2, optimized geometry
# Space-group type ... R-3m (166)
data_MnCdSb2
_symmetry_space_group_name_H-M 'P 1'
_symmetry_Int_Tables_number 1
_symmetry_space_group_name_Hall 'P 1'
_cell_length_a 8.121
_cell_length_b 8.121
_cell_length_c 8.121
_cell_angle_alpha 26.62
_cell_angle_beta 26.62
_cell_angle_gamma 26.62
loop_
_atom_site_label
_atom_site_type_symbol
_atom_site_fract_x
_atom_site_fract_y
_atom_site_fract_z
Mn1 Mn 0.000 0.000 0.000
Cd1 Cd 0.500 0.500 0.500
Sb1 Sb 0.265 0.265 0.265
Sb2 Sb 0.735 0.735 0.735

=====

Entry 6:
# PBE-GGA Nb2AgI8, optimized geometry
# Space-group type ... C2/m (12)
data_Nb2AgI8
_symmetry_space_group_name_H-M 'P 1'
_symmetry_Int_Tables_number 1
_symmetry_space_group_name_Hall 'P 1'
_cell_length_a 8.913
_cell_length_b 8.913
_cell_length_c 7.282
_cell_angle_alpha 91.76
_cell_angle_beta 91.76
_cell_angle_gamma 76.06
loop_
_atom_site_label
_atom_site_type_symbol
_atom_site_fract_x
_atom_site_fract_y
_atom_site_fract_z
Nb1 Nb 0.191 0.191 0.148
Nb2 Nb 0.809 0.809 0.852
Ag1 Ag 0.000 0.000 0.500
I1 I 0.096 0.709 0.724
I2 I 0.185 0.185 0.781
I3 I 0.291 0.904 0.276
I4 I 0.371 0.371 0.271
I5 I 0.629 0.629 0.729
I6 I 0.709 0.096 0.724
I7 I 0.815 0.815 0.219
I8 I 0.904 0.291 0.276

=====

Entry 7:
# PBE-GGA Cs2Na5Cd4, optimized geometry
# Space-group type ... C2/m (12)
data_Cs2Na5Cd4
_symmetry_space_group_name_H-M 'P 1'
_symmetry_Int_Tables_number 1
_symmetry_space_group_name_Hall 'P 1'
_cell_length_a 8.858
_cell_length_b 8.858
_cell_length_c 10.229
_cell_angle_alpha 125.15
_cell_angle_beta 125.15
_cell_angle_gamma 48.24
loop_
_atom_site_label
_atom_site_type_symbol
_atom_site_fract_x
_atom_site_fract_y
_atom_site_fract_z
Cs1 Cs 0.221 0.221 0.286
Cs2 Cs 0.779 0.779 0.714
Na1 Na 0.201 0.696 0.249
Na2 Na 0.304 0.799 0.751
Na3 Na 0.500 0.500 0.000
Na4 Na 0.696 0.201 0.249
Na5 Na 0.799 0.304 0.751
Cd1 Cd 0.119 0.119 0.569
Cd2 Cd 0.273 0.273 0.935
Cd3 Cd 0.727 0.727 0.065
Cd4 Cd 0.881 0.881 0.431

=====

Entry 8:
# PBE-GGA BaYSe2, optimized geometry
# Space-group type ... C2/m (12)
data_BaYSe2
_symmetry_space_group_name_H-M 'P 1'
_symmetry_Int_Tables_number 1
_symmetry_space_group_name_Hall 'P 1'
_cell_length_a 4.291
_cell_length_b 4.291
_cell_length_c 7.792
_cell_angle_alpha 105.89
_cell_angle_beta 105.89
_cell_angle_gamma 59.97
loop_
_atom_site_label
_atom_site_type_symbol
_atom_site_fract_x
_atom_site_fract_y
_atom_site_fract_z
Ba1 Ba 0.000 0.000 0.000
Y1 Y 0.500 0.500 0.500
Se1 Se 0.238 0.238 0.713
Se2 Se 0.762 0.762 0.287

=====

Entry 9:
# PBE-GGA LaErAg, optimized geometry
# Space-group type ... P3m1 (156)
data_LaErAg
_symmetry_space_group_name_H-M 'P 1'
_symmetry_Int_Tables_number 1
_symmetry_space_group_name_Hall 'P 1'
_cell_length_a 5.091
_cell_length_b 5.091
_cell_length_c 3.874
_cell_angle_alpha 90.00
_cell_angle_beta 90.00
_cell_angle_gamma 120.00
loop_
_atom_site_label
_atom_site_type_symbol
_atom_site_fract_x
_atom_site_fract_y
_atom_site_fract_z
La1 La 0.000 0.000 0.000
Er1 Er 0.333 0.667 0.501
Ag1 Ag 0.667 0.333 0.497

=====

Entry 10:
# PBE-GGA ReSiPt2, optimized geometry
# Space-group type ... P4/mmm (123)
data_ReSiPt2
_symmetry_space_group_name_H-M 'P 1'
_symmetry_Int_Tables_number 1
_symmetry_space_group_name_Hall 'P 1'
_cell_length_a 4.779
_cell_length_b 4.779
_cell_length_c 2.685
_cell_angle_alpha 90.00
_cell_angle_beta 90.00
_cell_angle_gamma 90.00
loop_
_atom_site_label
_atom_site_type_symbol
_atom_site_fract_x
_atom_site_fract_y
_atom_site_fract_z
Re1 Re 0.000 0.000 0.000
Si1 Si 0.500 0.500 0.000
Pt1 Pt 0.000 0.500 0.500
Pt2 Pt 0.500 0.000 0.500

=====

Entry 11:
# PBE-GGA CsCoCuH6, optimized geometry
# Space-group type ... P1 (1)
data_CsCoCuH6
_symmetry_space_group_name_H-M 'P 1'
_symmetry_Int_Tables_number 1
_symmetry_space_group_name_Hall 'P 1'
_cell_length_a 4.397
_cell_length_b 4.555
_cell_length_c 6.114
_cell_angle_alpha 90.01
_cell_angle_beta 90.05
_cell_angle_gamma 115.85
loop_
_atom_site_label
_atom_site_type_symbol
_atom_site_fract_x
_atom_site_fract_y
_atom_site_fract_z
Cs1 Cs 0.000 0.000 0.000
Co1 Co 0.321 0.698 0.500
Cu1 Cu 0.671 0.323 0.500
H1 H 0.032 0.504 0.335
H2 H 0.035 0.493 0.664
H3 H 0.460 0.514 0.350
H4 H 0.482 0.533 0.650
H5 H 0.494 0.983 0.670
H6 H 0.503 0.981 0.330

=====

Entry 12:
# PBE-GGA SrNpBi2O6, optimized geometry
# Space-group type ... P1 (1)
data_SrNpBi2O6
_symmetry_space_group_name_H-M 'P 1'
_symmetry_Int_Tables_number 1
_symmetry_space_group_name_Hall 'P 1'
_cell_length_a 6.119
_cell_length_b 6.127
_cell_length_c 6.307
_cell_angle_alpha 90.06
_cell_angle_beta 119.01
_cell_angle_gamma 119.93
loop_
_atom_site_label
_atom_site_type_symbol
_atom_site_fract_x
_atom_site_fract_y
_atom_site_fract_z
Sr1 Sr 0.000 0.000 0.000
Np1 Np 0.028 0.514 0.541
Bi1 Bi 0.436 0.218 0.653
Bi2 Bi 0.448 0.724 0.173
O1 O 0.218 0.807 0.358
O2 O 0.233 0.884 0.835
O3 O 0.487 0.601 0.834
O4 O 0.551 0.409 0.359
O5 O 0.949 0.141 0.359
O6 O 0.951 0.348 0.836

=====

Entry 13:
# PBE-GGA ErMg5Pt6, optimized geometry
# Space-group type ... Cmmm (65)
data_ErMg5Pt6
_symmetry_space_group_name_H-M 'P 1'
_symmetry_Int_Tables_number 1
_symmetry_space_group_name_Hall 'P 1'
_cell_length_a 6.838
_cell_length_b 6.838
_cell_length_c 7.157
_cell_angle_alpha 90.00
_cell_angle_beta 90.00
_cell_angle_gamma 143.17
loop_
_atom_site_label
_atom_site_type_symbol
_atom_site_fract_x
_atom_site_fract_y
_atom_site_fract_z
Er1 Er 0.000 0.000 0.000
Mg1 Mg 0.000 0.000 0.500
Mg2 Mg 0.327 0.673 0.000
Mg3 Mg 0.335 0.665 0.500
Mg4 Mg 0.665 0.335 0.500
Mg5 Mg 0.673 0.327 0.000
Pt1 Pt 0.170 0.830 0.257
Pt2 Pt 0.170 0.830 0.743
Pt3 Pt 0.500 0.500 0.259
Pt4 Pt 0.500 0.500 0.741
Pt5 Pt 0.830 0.170 0.257
Pt6 Pt 0.830 0.170 0.743

=====

Entry 14:
# PBE-GGA LaRuRh2, optimized geometry
# Space-group type ... P4/mmm (123)
data_LaRuRh2
_symmetry_space_group_name_H-M 'P 1'
_symmetry_Int_Tables_number 1
_symmetry_space_group_name_Hall 'P 1'
_cell_length_a 2.947
_cell_length_b 2.947
_cell_length_c 8.103
_cell_angle_alpha 90.00
_cell_angle_beta 90.00
_cell_angle_gamma 90.00
loop_
_atom_site_label
_atom_site_type_symbol
_atom_site_fract_x
_atom_site_fract_y
_atom_site_fract_z
La1 La 0.000 0.000 0.000
Ru1 Ru 0.000 0.000 0.500
Rh1 Rh 0.500 0.500 0.292
Rh2 Rh 0.500 0.500 0.708

=====

Entry 15:
# PBE-GGA RbHOs3, optimized geometry
# Space-group type ... Pm-3m (221)
data_RbHOs3
_symmetry_space_group_name_H-M 'P 1'
_symmetry_Int_Tables_number 1
_symmetry_space_group_name_Hall 'P 1'
_cell_length_a 4.196
_cell_length_b 4.196
_cell_length_c 4.196
_cell_angle_alpha 90.00
_cell_angle_beta 90.00
_cell_angle_gamma 90.00
loop_
_atom_site_label
_atom_site_type_symbol
_atom_site_fract_x
_atom_site_fract_y
_atom_site_fract_z
Rb1 Rb 0.000 0.000 0.000
H1 H 0.500 0.500 0.500
Os1 Os 0.000 0.500 0.500
Os2 Os 0.500 0.000 0.500
Os3 Os 0.500 0.500 0.000

=====

Entry 16:
# PBE-GGA InPt, optimized geometry
# Space-group type ... R-3m (166)
data_InPt
_symmetry_space_group_name_H-M 'P 1'
_symmetry_Int_Tables_number 1
_symmetry_space_group_name_Hall 'P 1'
_cell_length_a 8.949
_cell_length_b 8.949
_cell_length_c 8.949
_cell_angle_alpha 20.67
_cell_angle_beta 20.67
_cell_angle_gamma 20.67
loop_
_atom_site_label
_atom_site_type_symbol
_atom_site_fract_x
_atom_site_fract_y
_atom_site_fract_z
In1 In 0.118 0.118 0.118
In2 In 0.882 0.882 0.882
Pt1 Pt 0.373 0.373 0.373
Pt2 Pt 0.627 0.627 0.627

=====

Respective E_tot values: -7.673, -6.481, -5.161, -6.477, -4.479, -3.485, -1.112, -5.727, -4.152, -7.387, -3.592, -7.265, -4.993, -7.159, -5.651, -4.432 eV per atom.
Respective M_tot values: 0.0040, 0.0000, 0.0000, 0.3966, 0.6428, 0.2727, 0.0000, 0.0000, 0.0000, 0.2115, 0.0000, 0.3000, 0.0000, 0.0000, 0.4059, 0.0000 μB per atom.